This record from the Alexandria database describes a geometry-optimized Tm6Mn2In structure. The functional is PBE.

Values from the calculation:
DOS at the Fermi energy: 17.9 states/eV per cell
Calculated formation energy: -0.95 eV per formula unit
Space group: No. 71
Calculated density: 9.30 g/cm3

Cell: 8.317 8.317 8.317 Å, 110.93 110.25 107.26°
Positions (direct):
Tm 0.015 0.233 0.782
Tm 0.191 0.286 0.478
Tm 0.191 0.714 0.905
Tm 0.312 0.019 0.707
Tm 0.312 0.605 0.293
Tm 0.451 0.233 0.218
Tm 0.549 0.767 0.782
Tm 0.688 0.395 0.707
Tm 0.688 0.981 0.293
Tm 0.809 0.286 0.095
Tm 0.809 0.714 0.522
Tm 0.985 0.767 0.218
Mn 0.106 0.606 0.500
Mn 0.385 0.000 0.385
Mn 0.615 0.000 0.615
Mn 0.894 0.394 0.500
In 0.000 0.000 0.000
In 0.500 0.500 0.000


This record from the Alexandria database describes a geometry-optimized Ti3GaGe structure. The functional is PBE.

Values from the calculation:
DOS at the Fermi energy: 18.5 states/eV per cell
Calculated formation energy: -1.33 eV per formula unit
Space group: No. 62
Calculated density: 5.43 g/cm3

Cell: 6.692 7.935 6.586 Å, 90.00 90.00 90.00°
Positions (direct):
Ti 0.076 0.250 0.246
Ti 0.158 0.058 0.853
Ti 0.158 0.442 0.853
Ti 0.342 0.558 0.353
Ti 0.342 0.942 0.353
Ti 0.424 0.750 0.746
Ti 0.576 0.250 0.254
Ti 0.658 0.058 0.647
Ti 0.658 0.442 0.647
Ti 0.842 0.558 0.147
Ti 0.842 0.942 0.147
Ti 0.924 0.750 0.754
Ga 0.164 0.750 0.061
Ga 0.336 0.250 0.561
Ga 0.664 0.750 0.439
Ga 0.836 0.250 0.939
Ge 0.000 0.000 0.500
Ge 0.000 0.500 0.500
Ge 0.500 0.000 0.000
Ge 0.500 0.500 0.000


This record from the Alexandria database describes a geometry-optimized YCrP2 structure. The functional is PBE.

Values from the calculation:
DOS at the Fermi energy: 4.2 states/eV per cell
Calculated formation energy: -1.75 eV per formula unit
Space group: No. 122
Calculated density: 3.48 g/cm3

Cell: 7.232 7.232 7.232 Å, 133.82 133.82 67.37°
Positions (direct):
Y 0.000 0.000 0.000
Y 0.750 0.250 0.500
Cr 0.250 0.750 0.500
Cr 0.500 0.500 0.000
P 0.190 0.625 0.065
P 0.375 0.440 0.565
P 0.560 0.125 0.935
P 0.875 0.810 0.435


This record from the Alexandria database describes a geometry-optimized FeCoOs2 structure. The functional is PBE.

Values from the calculation:
DOS at the Fermi energy: 5.4 states/eV per cell
Calculated formation energy: 0.67 eV per formula unit
Space group: No. 99
Calculated density: 15.97 g/cm3

Cell: 2.690 2.690 7.116 Å, 90.00 90.00 90.00°
Positions (direct):
Fe 0.000 0.000 0.000
Co 0.500 0.500 0.774
Os 0.000 0.000 0.526
Os 0.500 0.500 0.259


This record from the Alexandria database describes a geometry-optimized CrMoN2 structure. The functional is PBE.

Values from the calculation:
DOS at the Fermi energy: 3.5 states/eV per cell
Uncorrected formation energy: 9.3 kJ/mol of atoms
Space group: No. 166
Calculated density: 6.18 g/cm3

Cell: 6.458 6.458 6.458 Å, 26.51 26.51 26.51°
Positions (direct):
Cr 0.000 0.000 0.000
Mo 0.500 0.500 0.500
N 0.102 0.102 0.102
N 0.898 0.898 0.898


This record from the Alexandria database describes a geometry-optimized CaTe2OsN structure. The functional is PBE.

Values from the calculation:
DOS at the Fermi energy: 1.3 states/eV per cell
Uncorrected formation energy: -23.7 kJ/mol of atoms
Space group: No. 123
Calculated density: 7.07 g/cm3

Cell: 5.619 5.619 3.716 Å, 90.00 90.00 90.00°
Positions (direct):
Ca 0.000 0.000 0.000
Te 0.000 0.500 0.500
Te 0.500 0.000 0.500
Os 0.500 0.500 0.500
N 0.500 0.500 0.000


This record from the Alexandria database describes a geometry-optimized K2Cd3Hg4 structure. The functional is PBE.

Values from the calculation:
DOS at the Fermi energy: 7.4 states/eV per cell
Calculated formation energy: -1.45 eV per formula unit
Space group: No. 64
Calculated density: 7.65 g/cm3

Cell: 9.369 9.369 9.064 Å, 90.00 90.00 138.37°
Positions (direct):
K 0.114 0.886 0.912
K 0.386 0.614 0.412
K 0.614 0.386 0.588
K 0.886 0.114 0.088
Cd 0.000 0.000 0.500
Cd 0.029 0.471 0.750
Cd 0.471 0.029 0.250
Cd 0.500 0.500 0.000
Cd 0.529 0.971 0.750
Cd 0.971 0.529 0.250
Hg 0.185 0.815 0.529
Hg 0.201 0.299 0.750
Hg 0.299 0.201 0.250
Hg 0.315 0.685 0.029
Hg 0.685 0.315 0.971
Hg 0.701 0.799 0.750
Hg 0.799 0.701 0.250
Hg 0.815 0.185 0.471


This record from the Alexandria database describes a geometry-optimized MnCdPt2 structure. The functional is PBE.

Values from the calculation:
DOS at the Fermi energy: 1.4 states/eV per cell
Calculated formation energy: -1.41 eV per formula unit
Space group: No. 10
Calculated density: 14.19 g/cm3

Cell: 2.975 3.624 6.053 Å, 90.00 90.14 90.00°
Positions (direct):
Mn 0.000 0.000 0.000
Cd 0.000 0.000 0.500
Pt 0.500 0.500 0.232
Pt 0.500 0.500 0.768


This record from the Alexandria database describes a geometry-optimized Sm4TeCS2 structure. The functional is PBE.

Values from the calculation:
DOS at the Fermi energy: 2.6 states/eV per cell
Uncorrected formation energy: -132.0 kJ/mol of atoms
Space group: No. 10
Calculated density: 6.96 g/cm3

Cell: 6.928 4.005 7.338 Å, 90.00 109.34 90.00°
Positions (direct):
Sm 0.231 0.000 0.214
Sm 0.244 0.500 0.797
Sm 0.756 0.500 0.203
Sm 0.769 0.000 0.786
Te 0.000 0.000 0.500
C 0.000 0.500 0.000
S 0.500 0.000 0.000
S 0.500 0.500 0.500


This record from the Alexandria database describes a geometry-optimized Ni2B4Pt5 structure. The functional is PBE.

Values from the calculation:
DOS at the Fermi energy: 4.3 states/eV per cell
Calculated formation energy: -2.06 eV per formula unit
Space group: No. 2
Calculated density: 14.65 g/cm3

Cell: 3.336 6.473 6.684 Å, 102.63 104.44 104.83°
Positions (direct):
Ni 0.155 0.117 0.194
Ni 0.845 0.883 0.806
B 0.072 0.230 0.914
B 0.188 0.768 0.608
B 0.812 0.232 0.392
B 0.928 0.770 0.086
Pt 0.241 0.598 0.884
Pt 0.401 0.132 0.671
Pt 0.500 0.500 0.500
Pt 0.599 0.868 0.329
Pt 0.759 0.402 0.116


This record from the Alexandria database describes a geometry-optimized La2Tm3Cd2 structure. The functional is PBE.

Values from the calculation:
DOS at the Fermi energy: 7.7 states/eV per cell
Calculated formation energy: -0.90 eV per formula unit
Space group: No. 65
Calculated density: 8.09 g/cm3

Cell: 16.271 16.271 3.559 Å, 90.00 90.00 167.30°
Positions (direct):
La 0.204 0.796 0.000
La 0.796 0.204 0.000
Tm 0.073 0.927 0.000
Tm 0.500 0.500 0.500
Tm 0.927 0.073 0.000
Cd 0.367 0.633 0.500
Cd 0.633 0.367 0.500


This record from the Alexandria database describes a geometry-optimized VAu3N structure. The functional is PBE.

Values from the calculation:
DOS at the Fermi energy: 4.8 states/eV per cell
Uncorrected formation energy: 88.1 kJ/mol of atoms
Space group: No. 221
Calculated density: 12.78 g/cm3

Cell: 4.400 4.400 4.400 Å, 90.00 90.00 90.00°
Positions (direct):
V 0.000 0.000 0.000
Au 0.000 0.500 0.500
Au 0.500 0.000 0.500
Au 0.500 0.500 0.000
N 0.500 0.500 0.500